# PBE Dy2TmNi2, relaxed
data_Dy2TmNi2
_chemical_formula_sum 'Dy8 Tm4 Ni8'
_symmetry_space_group_name_H-M 'C 1 2/c 1'
_symmetry_Int_Tables_number 15
_symmetry_space_group_name_Hall '-C 2yc'
_cell_length_a 11.2997
_cell_length_b 5.7173
_cell_length_c 7.0974
_cell_angle_alpha 90.00
_cell_angle_beta 100.84
_cell_angle_gamma 90.00
loop_
_atom_site_label
_atom_site_type_symbol
_atom_site_fract_x
_atom_site_fract_y
_atom_site_fract_z
_atom_site_occupancy
Dy1 Dy 0.1592 0.1100 0.1539 1
Tm1 Tm 0.0000 0.4092 0.7500 1
Ni1 Ni 0.1613 0.3644 0.5113 1
# Final energy = -5.39 eV/atom
# Magnetization = 0.0000 μB per atom
# ΔE to the lowest computed polymorph = 0.077 eV per formula unit
# Formation enthalpy at 0 K = -0.341 eV/atom